1.
A relaxed Be2Pd2Pt crystal. Source: Alexandria via LeMat-Bulk, functional GGA-PBE.

Unit cell a=2.7860 b=2.7746 c=8.2567 alpha=80.33 beta=90.00 gamma=90.00
Last column: nearest neighbours and their distance in Å.
Positions (direct):
Be  0.5000  0.4071  0.1858  4 Pd 2.38, 4 Pt 2.48
Be  0.5000  0.5929  0.8142  4 Pd 2.38, 4 Pt 2.48
Pd  0.0000  0.8243  0.3513  4 Be 2.38
Pt  0.0000  0.0000  0.0000  8 Be 2.48, 2 Pt 2.77
Pd  0.0000  0.1757  0.6487  4 Be 2.38

As for the energy relative to the elements: -0.568 eV per atom. For the polymorph energy (0 for the lowest one), the calculation gives 0.0000 eV/atom. As for the symmetry: Cmmm, No. 65. The calculation puts the density at 11.242 Mg/m³. The value obtained for the volume is 12.6 Å³/atom.



2.
A relaxed ZrSc2Cl crystal. Source: Alexandria via LeMat-Bulk, functional GGA-PBE.

Unit cell a=10.0666 b=10.0666 c=10.0666 alpha=19.35 beta=19.35 gamma=19.35
Last column: nearest neighbours and their distance in Å.
Positions (direct):
Sc  0.0837  0.0837  0.0837  1 Cl 2.48
Zr  0.5000  0.5000  0.5000  6 Sc 3.14, 6 Zr 3.38
Cl  0.0000  0.0000  0.0000  2 Sc 2.48
Sc  0.9163  0.9163  0.9163  1 Cl 2.48

For the polymorph energy (0 for the lowest one), the calculation gives 0.1637 eV/atom. As for the symmetry: R-3m, No. 166. The calculation puts the density at 3.674 Mg/m³. The value obtained for the volume is 24.5 Å³/atom.



3.
A relaxed MnGaGe3 crystal. Source: Alexandria via LeMat-Bulk, functional GGA-PBE.

Unit cell a=4.6828 b=4.6828 c=4.6828 alpha=90.00 beta=90.00 gamma=90.00
Last column: nearest neighbours and their distance in Å.
Positions (direct):
Ge  0.0000  0.0000  0.5000  2 Mn 2.34
Mn  0.0000  0.0000  0.0000  6 Ge 2.34
Ge  0.0000  0.5000  0.0000  2 Mn 2.34
Ga  0.5000  0.5000  0.5000  12 Ge 3.31
Ge  0.5000  0.0000  0.0000  2 Mn 2.34

As for the energy relative to the elements: 0.222 eV per atom. For the polymorph energy (0 for the lowest one), the calculation gives 0.0000 eV/atom. As for the symmetry: Pm-3m, No. 221. The calculation puts the density at 5.540 Mg/m³. The value obtained for the volume is 20.5 Å³/atom.



4.
A relaxed Br5Cl crystal. Source: Alexandria via LeMat-Bulk, functional GGA-PBE.

Unit cell a=6.1196 b=6.1196 c=6.1196 alpha=60.00 beta=60.00 gamma=60.00
Last column: nearest neighbours and their distance in Å.
Positions (direct):
Br  0.1249  0.6250  0.6250  6 Br 3.06
Br  0.2500  0.2500  0.2500  12 Br 3.59, 4 Cl 3.75
Cl  0.0000  0.0000  0.0000  16 Br 3.59-3.75
Br  0.6250  0.1249  0.6250  6 Br 3.06
Br  0.6250  0.6250  0.1249  6 Br 3.06
Br  0.6250  0.6250  0.6250  6 Br 3.06

For the polymorph energy (0 for the lowest one), the calculation gives 0.6161 eV/atom. As for the symmetry: F-43m, No. 216. The calculation puts the density at 4.457 Mg/m³. The value obtained for the volume is 27.0 Å³/atom.



5.
A relaxed PtRh2W crystal. Source: Alexandria via LeMat-Bulk, functional GGA-PBE.

Unit cell a=4.7938 b=4.7938 c=4.7938 alpha=132.17 beta=132.17 gamma=69.97
Last column: nearest neighbours and their distance in Å.
Positions (direct):
Rh  0.2500  0.7500  0.5000  4 Pt 2.75, 4 Rh 2.76, 4 W 2.76
Rh  0.0000  0.0000  0.0000  4 W 2.75, 4 Rh 2.76, 4 Pt 2.76
W  0.5000  0.5000  0.0000  8 Rh 2.75-2.76, 4 Pt 2.76
Pt  0.7500  0.2500  0.5000  8 Rh 2.75-2.76, 4 W 2.76

As for the energy relative to the elements: -0.236 eV per atom. For the polymorph energy (0 for the lowest one), the calculation gives 0.0084 eV/atom. As for the symmetry: I-4m2, No. 119. The calculation puts the density at 16.362 Mg/m³. The value obtained for the volume is 14.8 Å³/atom.



6.
A relaxed ScCd3 crystal. Source: Alexandria via LeMat-Bulk, functional GGA-PBE.

Unit cell a=6.3973 b=6.3973 c=4.8859 alpha=90.00 beta=90.00 gamma=120.00
Last column: nearest neighbours and their distance in Å.
Positions (direct):
Cd  0.6668  0.8334  0.2500  8 Cd 3.06-3.20, 4 Sc 3.06-3.20
Cd  0.3332  0.1666  0.7500  8 Cd 3.06-3.20, 4 Sc 3.06-3.20
Cd  0.1666  0.8334  0.2500  8 Cd 3.06-3.20, 4 Sc 3.06-3.20
Cd  0.8334  0.6668  0.7500  8 Cd 3.06-3.20, 4 Sc 3.06-3.20
Sc  0.3333  0.6667  0.7500  12 Cd 3.06-3.20
Cd  0.1666  0.3332  0.2500  8 Cd 3.06-3.20, 4 Sc 3.06-3.20
Sc  0.6667  0.3333  0.2500  12 Cd 3.06-3.20
Cd  0.8334  0.1666  0.7500  8 Cd 3.06-3.20, 4 Sc 3.06-3.20

As for the energy relative to the elements: -0.217 eV per atom. As for the symmetry: P6_3/mmc, No. 194. The calculation puts the density at 7.330 Mg/m³. The value obtained for the volume is 21.6 Å³/atom.



Question: density of number 4 (Br5Cl)?
Answer: 4.457 Mg/m³



Question: density of number 3 (MnGaGe3)?
Answer: 5.540 Mg/m³



Question: density of number 2 (ZrSc2Cl)?
Answer: 3.674 Mg/m³